Density functional theory data (GGA-PBE) for crystalline KSi2Cl at its relaxed geometry.

```
data_KSi2Cl
_space_group_name_H-M_alt 'P 1'
_space_group_IT_number 1
_cell_length_a 8.9135
_cell_length_b 8.9135
_cell_length_c 8.9135
_cell_angle_alpha 155.16
_cell_angle_beta 155.16
_cell_angle_gamma 35.42
loop_
_space_group_symop_operation_xyz
'x,y,z'
loop_
_atom_site_label
_atom_site_type_symbol
_atom_site_fract_x
_atom_site_fract_y
_atom_site_fract_z
Cl1 Cl 0.2500 0.7500 0.5000
K1 K 0.7500 0.2500 0.5000
Si1 Si 0.0000 0.0000 0.0000
Si2 Si 0.5000 0.5000 0.0000
```

magnetic moment = 0.000 μB/atom
formation energy without anion corrections = -96 meV per atom
DFT total energy = -3.544 eV/atom